Density functional theory data (PBE) for an optimized crystal structure of CaNiMo.

Properties
The formation energy is 0.33 eV per atom. The density comes out at 5.717 g/cm³.

```
CaNiMo
1.0
-1.6767 1.2843 -3.9608
2.5963 -3.1322 -2.1143
-5.3336 -2.1294 1.5673
Ni Ca Mo
2 2 2
Cartesian
-2.6647 -1.5926 -1.9688 Ni
-2.1257 -3.8529 -2.9303 Ni
-0.1893 -0.7324 -0.1961 Ca
0.2712 -1.6571 -3.2340 Ca
-2.5784 -2.9191 0.1074 Mo
-0.5387 -3.8059 -1.0439 Mo
```

Density functional theory data (PBE) for an optimized crystal structure of CaNiMo.

Properties
The formation energy is 1.67 eV per atom. The density comes out at 4.833 g/cm³.

```
CaNiMo
1.0
-3.3678 1.2598 2.7988
-3.8414 -2.4436 0.1867
-0.9393 -2.4891 3.6993
Ni Mo Ca
1 1 1
Cartesian
-4.0742 -1.8365 3.3424 Ni
0.0000 0.0000 0.0000 Mo
-6.1113 -2.7547 5.0136 Ca
```

| no. | DOS at the Fermi energy (states/eV/cell) |
| --- | --- |
| 1 | 4.8 |
| 2 | 2.7 |